{
  "formula": "TaGeIr2",
  "functional": "PBE",
  "state": "optimized geometry",
  "delta_e_f_mev_per_atom": 212,
  "crystal_system": "tetragonal",
  "spacegroup": "No. 122",
  "n_ef_per_ev_atom": 0.533,
  "cell": [[-2.8223, 2.8223, 5.6768], [2.8223, -2.8223, 5.6768], [2.8223, 2.8223, -5.6768]],
  "species": ["Ta", "Ta", "Ge", "Ge", "Ir", "Ir", "Ir", "Ir"],
  "frac_coords": [[0.0000, 0.0000, 0.0000], [0.7500, 0.2500, 0.5000], [0.2500, 0.7500, 0.5000], [0.5000, 0.5000, 0.0000], [0.1396, 0.6250, 0.0146], [0.3750, 0.3896, 0.5146], [0.6104, 0.1250, 0.9854], [0.8750, 0.8604, 0.4854]]
}